A) ## LiAgOs2 (GGA-PBEsol)

Data for a geometry-optimized LiAgOs2 structure.

abc: 2.9159 2.9159 6.3195
angles: 90.00 90.00 90.00
Fractional positions:
Ag1 0.5000 0.5000 0.0000
Li1 0.5000 0.5000 0.5000
Os1 0.0000 0.0000 0.6950
Os2 0.0000 0.0000 0.3050

N(E_F)   4.0 states/eV/f.u.
Density   15307 kg/m3
Space-group type   No. 123

B) ## LiAgOs2 (GGA-PBEsol)

Data for a geometry-optimized LiAgOs2 structure.

abc: 2.7009 3.8639 5.5581
angles: 90.00 90.05 90.00
Fractional positions:
Ag1 0.0005 0.0000 0.5286
Li1 0.4999 0.5000 0.7349
Os1 0.9997 0.0000 0.0291
Os2 0.5000 0.5000 0.2074

N(E_F)   2.4 states/eV/f.u.
Density   14178 kg/m3
Space-group type   No. 25

Decreasing stability: B), A)

A) ## LiAg2P (GGA-PBEsol)

Data for a geometry-optimized LiAg2P structure.

abc: 3.7562 3.9821 3.9821
angles: 90.00 90.00 90.00
Fractional positions:
Ag1 0.0000 0.0000 0.5000
Ag2 0.0000 0.5000 0.0000
Li1 0.5000 0.5000 0.5000
P1 0.5000 0.0000 0.0000

N(E_F)   1.1 states/eV/f.u.
Density   7072 kg/m3
Space-group type   No. 123

B) ## LiAg2P (GGA-PBEsol)

Data for a geometry-optimized LiAg2P structure.

abc: 2.8117 4.5420 5.1199
angles: 97.43 90.00 108.03
Fractional positions:
Ag1 0.0050 0.0099 0.0182
Ag2 0.2524 0.5048 0.7278
Li1 0.4934 0.9868 0.4799
P1 0.7493 0.4985 0.2742

N(E_F)   1.1 states/eV/f.u.
Density   6838 kg/m3
Space-group type   No. 8

C) ## LiAg2P (GGA-PBEsol)

Data for a geometry-optimized LiAg2P structure.

abc: 4.1224 4.5878 4.1224
angles: 116.70 90.00 116.70
Fractional positions:
Ag1 0.2500 0.5000 0.7500
Ag2 0.7500 0.5000 0.2500
Li1 0.5000 0.0000 0.5000
P1 0.0000 0.0000 0.0000

N(E_F)   0.6 states/eV/f.u.
Density   6996 kg/m3
Space-group type   No. 139

Decreasing stability: C), A), B)

A) ## Li2AgRu (GGA-PBEsol)

Data for a geometry-optimized Li2AgRu structure.

abc: 2.5473 4.4125 5.0066
angles: 90.00 92.48 90.00
Fractional positions:
Ag1 0.0000 0.5000 0.5000
Li1 0.8082 0.0000 0.7716
Li2 0.1918 0.0000 0.2284
Ru1 0.5000 0.5000 0.0000

N(E_F)   1.2 states/eV/f.u.
Density   6581 kg/m3
Space-group type   No. 10

B) ## Li2AgRu (GGA-PBEsol)

Data for a geometry-optimized Li2AgRu structure.

abc: 4.1999 4.1999 4.1999
angles: 60.00 60.00 60.00
Last column: magnetic moment on the atom in μB.
Fractional positions:
Ag1 0.0000 0.0000 0.0000  0.01
Li1 0.2500 0.2500 0.2500  -0.01
Li2 0.7500 0.7500 0.7500  -0.01
Ru1 0.5000 0.5000 0.5000  0.90

N(E_F)   4.1 states/eV/f.u.
Density   7063 kg/m3
Space-group type   No. 225

Decreasing stability: A), B)

A) ## LiAg2Ru (GGA-PBEsol)

Data for a geometry-optimized LiAg2Ru structure.

abc: 4.4154 4.4154 4.4154
angles: 60.00 60.00 60.00
Last column: magnetic moment on the atom in μB.
Fractional positions:
Ag1 0.7500 0.7500 0.7500  0.05
Ag2 0.2500 0.2500 0.2500  0.05
Li1 0.0000 0.0000 0.0000  -0.01
Ru1 0.5000 0.5000 0.5000  1.25

N(E_F)   5.0 states/eV/f.u.
Density   8832 kg/m3
Space-group type   No. 225

B) ## LiAg2Ru (GGA-PBEsol)

Data for a geometry-optimized LiAg2Ru structure.

abc: 2.6338 4.8660 4.8976
angles: 97.39 90.00 105.70
Fractional positions:
Ag1 0.0020 0.0040 0.0201
Ag2 0.2510 0.5019 0.7368
Li1 0.4988 0.9976 0.5022
Ru1 0.7482 0.4965 0.2409

N(E_F)   1.2 states/eV/f.u.
Density   8977 kg/m3
Space-group type   No. 8

C) ## LiAg2Ru (GGA-PBEsol)

Data for a geometry-optimized LiAg2Ru structure.

abc: 2.5976 4.2145 5.5163
angles: 90.00 90.00 90.00
Fractional positions:
Ag1 0.0000 0.0000 0.9837
Ag2 0.5000 0.5000 0.2600
Li1 0.0000 0.0000 0.5046
Ru1 0.5000 0.5000 0.7517

N(E_F)   3.0 states/eV/f.u.
Density   8902 kg/m3
Space-group type   No. 25

Decreasing stability: B), C), A)

A) ## SrLiAg2 (GGA-PBEsol)

Data for a geometry-optimized SrLiAg2 structure.

abc: 3.5530 3.5530 6.9827
angles: 90.00 90.00 90.00
Fractional positions:
Sr1 0.5000 0.5000 0.0000
Ag1 0.0000 0.0000 0.3034
Ag2 0.0000 0.0000 0.6966
Li1 0.5000 0.5000 0.5000

N(E_F)   1.2 states/eV/f.u.
Density   5846 kg/m3
Space-group type   No. 123

B) ## SrLiAg2 (GGA-PBEsol)

Data for a geometry-optimized SrLiAg2 structure.

abc: 4.1966 4.6971 5.4687
angles: 115.43 112.56 90.00
Fractional positions:
Ag1 0.0150 0.0150 0.0300
Ag2 0.7498 0.2498 0.4997
Li1 0.4836 0.4836 0.9671
Sr1 0.2516 0.7516 0.5032

N(E_F)   1.7 states/eV/f.u.
Density   5847 kg/m3
Space-group type   No. 44

C) ## SrLiAg2 (GGA-PBEsol)

Data for a geometry-optimized SrLiAg2 structure.

abc: 4.7640 5.1357 5.1357
angles: 65.24 62.37 62.37
Fractional positions:
Sr1 0.5000 0.0000 0.0000
Ag1 0.2974 0.7026 0.7026
Ag2 0.7026 0.2974 0.2974
Li1 0.0000 0.5000 0.5000

N(E_F)   1.4 states/eV/f.u.
Density   5410 kg/m3
Space-group type   No. 71

Decreasing stability: A), C), B)

A) ## SrLiAg2 (GGA-PBEsol)

Data for a geometry-optimized SrLiAg2 structure.

abc: 4.5634 4.5634 5.9502
angles: 67.45 67.45 60.00
Fractional positions:
Sr1 0.0000 0.0000 0.0000
Ag1 0.2013 0.2013 0.3960
Ag2 0.7987 0.7987 0.6040
Li1 0.5000 0.5000 0.5000

N(E_F)   1.3 states/eV/f.u.
Density   5355 kg/m3
Space-group type   No. 166

B) ## SrLiAg2 (GGA-PBEsol)

Data for a geometry-optimized SrLiAg2 structure.

abc: 4.6174 4.6140 5.8635
angles: 113.12 90.00 120.02
Fractional positions:
Sr1 0.2522 0.5044 0.7563
Ag1 0.0467 0.0934 0.1401
Ag2 0.7534 0.5068 0.2606
Li1 0.4477 0.8953 0.3430

N(E_F)   1.7 states/eV/f.u.
Density   5345 kg/m3
Space-group type   No. 160

Decreasing stability: A), B)